# Pm2Re2C3 | OQMD | PBE | relaxed
data_Pm2Re2C3
_chemical_formula_sum 'Pm2 Re2 C3'
_cell_length_a 5.824
_cell_length_b 5.824
_cell_length_c 5.860
_cell_angle_alpha 103.64
_cell_angle_beta 103.64
_cell_angle_gamma 34.00
_space_group_name_H-M_alt 'P 1'
_space_group_IT_number 1
_space_group_name_Hall 'P 1'
loop_
_atom_site_label
_atom_site_type_symbol
_atom_site_fract_x
_atom_site_fract_y
_atom_site_fract_z
C1 C 0.724 0.724 0.265
C2 C 0.000 0.000 0.500
C3 C 0.276 0.276 0.735
Pm1 Pm 0.390 0.390 0.166
Pm2 Pm 0.610 0.610 0.834
Re1 Re 0.155 0.155 0.393
Re2 Re 0.845 0.845 0.607
# Final energy = -63.29 eV/cell
# Crystal system = monoclinic
# Space-group type = C2/m (12)